1.
Below is a geometry-optimized CePm2Te2N2 structure, with properties calculated at the PBE level.

The structure belongs to space group I4/mmm (No. 139); the cell edges are 4.460, 4.460 and 16.442 Å and the angles 90.00°, 90.00° and 90.00°. The asymmetric unit holds Ce at (0.000, 0.000, 0.000), Pm at (0.000, 0.000, 0.393), Te at (0.000, 0.000, 0.188) and N at (0.000, 0.500, 0.000).

The total moment is 0.000 μB/atom. The calculation puts the volume at 23.4 Å³ per atom. As for the total DFT energy (no corrections): -47.568 eV per formula unit.

2.
Below is a geometry-optimized CePmTe2N structure, with properties calculated at the PBE level.

The structure belongs to space group P4/nmm (No. 129, origin choice 2); the cell edges are 4.189, 4.189 and 16.232 Å and the angles 90.00°, 90.00° and 90.00°. The asymmetric unit holds Ce at (0.250, 0.250, 0.064), Pm at (0.250, 0.250, 0.639), Te at (0.250, 0.250, 0.419), Te at (0.250, 0.250, 0.820) and N at (0.250, 0.750, 0.000).

The total moment is 0.000 μB/atom. The calculation puts the volume at 28.5 Å³ per atom. As for the total DFT energy (no corrections): -32.257 eV per formula unit.

The following formation energy (no corrections) values (in kJ/mol of formula units) correspond, in order, to the records above: -888, -672.